No. 1
# CdReW2

An optimized crystal structure of CdReW2 (GGA-PBE, Alexandria via LeMat-Bulk).

The structure in POSCAR format:
```
CdReW2
1.0
1.588 -2.263 0.000
1.588 2.263 0.000
0.000 0.000 9.383
Cd Re W
1 1 2
Cartesian
0.000 0.000 0.000
1.588 0.000 2.505
0.000 0.000 4.655
1.588 0.000 6.863
```

Results
D(E_F): 2.31 states/eV per cell
symmetry: Cmm2
crystal system: orthorhombic
energy: -9.484 eV/atom

=====

No. 2
# CdReW2

An optimized crystal structure of CdReW2 (GGA-PBE, Alexandria via LeMat-Bulk).

The structure in POSCAR format:
```
CdReW2
1.0
-2.003 2.003 4.105
2.003 -2.003 4.105
2.003 2.003 -4.105
Cd Re W
1 1 2
Cartesian
0.000 0.000 0.000
0.000 0.000 4.105
2.003 0.000 2.053
0.000 2.003 2.053
```

Results
D(E_F): 2.20 states/eV per cell
symmetry: I4/mmm
crystal system: tetragonal
energy: -9.206 eV/atom

=====

No. 3
# CdReW2

An optimized crystal structure of CdReW2 (GGA-PBE, Alexandria via LeMat-Bulk).

The structure in POSCAR format:
```
CdReW2
1.0
2.726 0.000 0.000
0.000 4.520 0.000
-1.080 0.000 5.398
Cd Re W
1 1 2
Cartesian
0.000 0.000 0.000
1.795 2.260 1.417
0.052 2.260 4.050
0.965 0.000 2.669
```

Results
D(E_F): 2.98 states/eV per cell
symmetry: Pm
crystal system: monoclinic
energy: -9.323 eV/atom

=====

No. 4
# CdReW2

An optimized crystal structure of CdReW2 (GGA-PBE, Alexandria via LeMat-Bulk).

The structure in POSCAR format:
```
CdReW2
1.0
1.443 0.833 9.424
-1.443 0.833 9.424
0.000 -1.666 9.424
Cd Re W
1 1 2
Cartesian
0.000 0.000 0.000
0.000 0.000 21.346
0.000 0.000 6.875
0.000 0.000 13.992
```

Results
D(E_F): 3.91 states/eV per cell
symmetry: R3m
crystal system: trigonal
energy: -9.346 eV/atom